Entry from Alexandria: a crystal of Fe2NiBiSb relaxed with PBEsol (meta-GGA SCAN).

Computed properties:
As for the space group: No. 123. The calculation puts the total energy at -32.94 eV/atom. The uncorrected formation energy comes out at 3.6 eV/f.u.

Unit cell a=4.560 b=4.560 c=4.785 alpha=90.00 beta=90.00 gamma=90.00
Each line ends with the local moment (μB).
Fractional positions:
Sb: 0.500 0.500 0.500  -0.03
Fe: 0.000 0.500 0.000  3.16
Fe: 0.500 0.000 0.000  3.16
Bi: 0.000 0.000 0.500  0.03
Ni: 0.000 0.000 0.000  0.51

---

Entry from Alexandria: a crystal of CaAl4Si2O11 relaxed with PBEsol (meta-GGA SCAN).

Computed properties:
As for the space group: No. 9. The calculation puts the total energy at -10.41 eV/atom. The uncorrected formation energy comes out at -58.2 eV/f.u.

Unit cell a=5.444 b=5.444 c=12.621 alpha=90.05 beta=90.05 gamma=119.91
Fractional positions:
O: 0.673 0.346 0.079
O: 0.346 0.673 0.579
O: 0.328 0.657 0.921
O: 0.810 0.164 0.579
O: 0.836 0.191 0.923
O: 0.657 0.328 0.421
O: 0.353 0.176 0.577
O: 0.303 0.148 0.247
O: 0.176 0.353 0.077
O: 0.148 0.303 0.747
O: 0.150 0.850 0.751
O: 0.852 0.697 0.255
O: 0.164 0.810 0.079
O: 0.191 0.836 0.423
O: 0.354 0.191 0.922
O: 0.697 0.852 0.755
O: 0.810 0.645 0.579
O: 0.850 0.150 0.251
O: 0.645 0.810 0.079
O: 0.649 0.824 0.424
O: 0.824 0.649 0.924
O: 0.191 0.354 0.422
Al: 0.996 0.991 0.148
Al: 0.003 0.009 0.854
Al: 0.009 0.003 0.354
Al: 0.332 0.666 0.764
Al: 0.501 0.002 0.001
Al: 0.666 0.332 0.264
Al: 0.991 0.996 0.648
Al: 0.002 0.501 0.501
Si: 0.499 0.997 0.502
Si: 0.997 0.499 0.002
Si: 0.502 0.499 0.002
Si: 0.499 0.502 0.502
Ca: 0.665 0.331 0.747
Ca: 0.331 0.665 0.247

---

Entry from Alexandria: a crystal of TlP relaxed with PBEsol (meta-GGA SCAN).

Computed properties:
As for the space group: No. 8. For the energy relative to the elements, the calculation gives 0.239 eV/atom. The calculation puts the total energy at -41.14 eV/atom.

Unit cell a=3.285 b=6.375 c=6.999 alpha=101.43 beta=90.00 gamma=104.93
Fractional positions:
P: 0.942 0.885 0.993
P: 0.382 0.764 0.187
P: 0.400 0.799 0.749
Tl: 0.025 0.051 0.507
Tl: 0.669 0.338 0.951
Tl: 0.748 0.496 0.446

---

Entry from Alexandria: a crystal of Be2CrTc relaxed with PBEsol (meta-GGA SCAN).

Computed properties:
As for the space group: No. 6. For the energy relative to the elements, the calculation gives -0.086 eV/atom. The calculation puts the total energy at -15.62 eV/atom.

Unit cell a=2.536 b=3.822 c=4.395 alpha=90.00 beta=98.47 gamma=90.00
Fractional positions:
Be: 0.874 0.500 0.253
Be: 0.870 0.000 0.001
Cr: 0.471 0.000 0.479
Tc: 0.285 0.500 0.767

---

Entry from Alexandria: a crystal of Sc2TlC relaxed with PBEsol (meta-GGA SCAN).

Computed properties:
As for the space group: No. 194. For the energy relative to the elements, the calculation gives -0.666 eV/atom. The calculation puts the total energy at -28.40 eV/atom.

Unit cell a=3.334 b=3.334 c=15.112 alpha=90.00 beta=90.00 gamma=120.00
Fractional positions:
Sc: 0.667 0.333 0.580
Sc: 0.667 0.333 0.920
Sc: 0.333 0.667 0.080
Sc: 0.333 0.667 0.420
C: 0.000 0.000 0.000
C: 0.000 0.000 0.500
Tl: 0.333 0.667 0.750
Tl: 0.667 0.333 0.250

---

Entry from Alexandria: a crystal of InAgW2 relaxed with PBEsol (meta-GGA SCAN).

Computed properties:
As for the space group: No. 119. For the energy relative to the elements, the calculation gives 0.726 eV/atom. The calculation puts the total energy at -50.31 eV/atom.

Unit cell a=4.138 b=4.138 c=4.880 alpha=115.08 beta=115.08 gamma=90.00
Fractional positions:
Ag: 0.500 0.500 0.000
W: 0.750 0.250 0.500
W: 0.000 0.000 0.000
In: 0.250 0.750 0.500

---

Copy entry 6 word for word.
Entry from Alexandria: a crystal of InAgW2 relaxed with PBEsol (meta-GGA SCAN).

Computed properties:
As for the space group: No. 119. For the energy relative to the elements, the calculation gives 0.726 eV/atom. The calculation puts the total energy at -50.31 eV/atom.

Unit cell a=4.138 b=4.138 c=4.880 alpha=115.08 beta=115.08 gamma=90.00
Fractional positions:
Ag: 0.500 0.500 0.000
W: 0.750 0.250 0.500
W: 0.000 0.000 0.000
In: 0.250 0.750 0.500

---

Repeat the first record exactly.
Entry from Alexandria: a crystal of Fe2NiBiSb relaxed with PBEsol (meta-GGA SCAN).

Computed properties:
As for the space group: No. 123. The calculation puts the total energy at -32.94 eV/atom. The uncorrected formation energy comes out at 3.6 eV/f.u.

Unit cell a=4.560 b=4.560 c=4.785 alpha=90.00 beta=90.00 gamma=90.00
Each line ends with the local moment (μB).
Fractional positions:
Sb: 0.500 0.500 0.500  -0.03
Fe: 0.000 0.500 0.000  3.16
Fe: 0.500 0.000 0.000  3.16
Bi: 0.000 0.000 0.500  0.03
Ni: 0.000 0.000 0.000  0.51